A plane-wave DFT calculation with GGA-PBE was carried out for an optimized crystal structure of Tc2Ir2Ru.

* space group: P4/mbm, No. 127
* calculated formation energy: 0.1660 eV/atom
* offset from the most stable computed form: 0 meV/atom

abc: 7.4333 7.4333 2.7515
angles: 90.00 90.00 90.00
Closest atoms and distances in Å follow each position.
Element x y z (fractional)
Ru 0.0000 0.0000 0.0000  2 Ru 2.75, 4 Ir 2.94, 8 Tc 3.08
Ru 0.5000 0.5000 0.0000  2 Ru 2.75, 4 Ir 2.94, 8 Tc 3.08
Tc 0.3280 0.1720 0.5000  6 Ir 2.54-2.63, 2 Tc 2.75
Tc 0.8280 0.3280 0.5000  6 Ir 2.54-2.63, 2 Tc 2.75
Tc 0.1720 0.6720 0.5000  6 Ir 2.54-2.63, 2 Tc 2.75
Tc 0.6720 0.8280 0.5000  6 Ir 2.54-2.63, 2 Tc 2.75
Ir 0.6251 0.1251 0.0000  6 Tc 2.54-2.63, 3 Ir 2.63-2.75
Ir 0.1251 0.3749 0.0000  6 Tc 2.54-2.63, 3 Ir 2.63-2.75
Ir 0.3749 0.8749 0.0000  6 Tc 2.54-2.63, 3 Ir 2.63-2.75
Ir 0.8749 0.6251 0.0000  6 Tc 2.54-2.63, 3 Ir 2.63-2.75



A plane-wave DFT calculation with GGA-PBE was carried out for an optimized crystal structure of Al4SiTe.

* space group: F-43m, No. 216
* formation energy without anion corrections: 0.3446 eV per atom

abc: 5.4683 5.4683 5.4683
angles: 60.00 60.00 60.00
Closest atoms and distances in Å follow each position.
Element x y z (fractional)
Al 0.3763 0.3763 0.3763  6 Al 2.71-2.76
Al 0.3763 0.3763 0.8712  6 Al 2.71-2.76
Al 0.3763 0.8712 0.3763  6 Al 2.71-2.76
Al 0.8712 0.3763 0.3763  6 Al 2.71-2.76
Te 0.0000 0.0000 0.0000  12 Al 3.21, 4 Si 3.35
Si 0.7500 0.7500 0.7500  12 Al 3.20, 4 Te 3.35



A plane-wave DFT calculation with GGA-PBE was carried out for an optimized crystal structure of Li14CuNi.

* space group: Amm2, No. 38
* calculated formation energy: 0.0456 eV/atom

abc: 5.9326 5.9326 9.3365
angles: 90.00 90.00 124.36
Closest atoms and distances in Å follow each position.
Element x y z (fractional)
Li 0.8639 0.6302 0.7175  1 Ni 2.66, 1 Cu 2.67, 5 Li 2.73-2.88
Li 0.3819 0.6181 0.7403  1 Ni 2.67, 9 Li 2.77-2.96
Li 0.5391 0.9591 0.5000  8 Li 2.73-2.83, 1 Ni 2.77, 1 Cu 2.78
Li 0.7192 0.2808 0.0000  8 Li 2.77-3.03
Li 0.2249 0.2733 0.0000  12 Li 2.76-3.03
Li 0.8784 0.1216 0.7450  1 Cu 2.73, 9 Li 2.77-2.94
Li 0.3698 0.1361 0.7175  1 Ni 2.66, 1 Cu 2.67, 5 Li 2.73-2.88
Li 0.3698 0.1361 0.2825  1 Ni 2.66, 1 Cu 2.67, 5 Li 2.73-2.88
Li 0.7267 0.7751 0.0000  12 Li 2.76-3.03
Li 0.3819 0.6181 0.2597  1 Ni 2.67, 9 Li 2.77-2.96
Li 0.8639 0.6302 0.2825  1 Ni 2.66, 1 Cu 2.67, 5 Li 2.73-2.88
Li 0.2227 0.7773 0.0000  8 Li 2.77-3.00
Li 0.0409 0.4609 0.5000  8 Li 2.73-2.83, 1 Ni 2.77, 1 Cu 2.78
Li 0.8784 0.1216 0.2550  1 Cu 2.73, 9 Li 2.77-2.94
Cu 0.0195 0.9805 0.5000  8 Li 2.67-2.78, 2 Ni 2.77
Ni 0.5190 0.4810 0.5000  8 Li 2.66-2.77, 2 Cu 2.77



A plane-wave DFT calculation with GGA-PBE was carried out for an optimized crystal structure of Pm8Si5As.

* space group: I-4, No. 82
* formation energy without anion corrections: -0.7762 eV per atom

abc: 7.8137 7.8137 7.8137
angles: 109.45 109.51 109.45
Closest atoms and distances in Å follow each position.
Element x y z (fractional)
Pm 0.6265 0.3819 0.8760  5 Si 2.95-3.30
Pm 0.4942 0.6181 0.2447  5 Si 2.95-3.30
Pm 0.1240 0.7505 0.5058  5 Si 2.95-3.30
Pm 0.2585 0.2504 0.3742  5 Si 2.96-3.29, 1 As 2.97
Pm 0.1239 0.7496 0.0081  5 Si 2.96-3.29, 1 As 2.97
Pm 0.9919 0.1158 0.7415  5 Si 2.96-3.29, 1 As 2.97
Pm 0.7553 0.2495 0.3735  5 Si 2.95-3.30
Pm 0.6258 0.8842 0.8761  5 Si 2.96-3.29, 1 As 2.97
Si 0.8754 0.8758 0.2497  8 Pm 2.95-3.30
Si 0.7503 0.6257 0.6261  8 Pm 2.95-3.30
Si 0.5000 0.0000 0.5000  8 Pm 2.96-3.29
Si 0.3739 0.1242 0.9996  8 Pm 2.95-3.30
Si 0.0004 0.3743 0.1246  8 Pm 2.95-3.30
As 0.2500 0.5000 0.7500  8 Pm 2.97-3.31



A plane-wave DFT calculation with GGA-PBE was carried out for an optimized crystal structure of Li5Mg5Cd2.

* space group: C2/m, No. 12
* calculated formation energy: -0.1152 eV/atom
* offset from the most stable computed form: 7 meV/atom

abc: 4.8060 5.6595 10.3664
angles: 108.03 90.00 115.12
Closest atoms and distances in Å follow each position.
Element x y z (fractional)
Li 0.8391 0.6781 0.5126  2 Cd 2.88-3.06, 3 Mg 2.93-2.94, 3 Li 2.95-2.97
Li 0.0000 0.0000 0.0000  4 Mg 2.92, 2 Li 2.97, 2 Cd 3.02
Li 0.1609 0.3219 0.4874  2 Cd 2.88-3.06, 3 Mg 2.93-2.94, 3 Li 2.95-2.97
Li 0.2538 0.5076 0.2477  2 Cd 2.89, 4 Mg 2.92-2.95, 2 Li 2.95-2.97
Li 0.7462 0.4924 0.7523  2 Cd 2.89, 4 Mg 2.92-2.95, 2 Li 2.95-2.97
Mg 0.5966 0.1932 0.2605  5 Li 2.92-3.27, 3 Mg 2.97-3.05, 3 Cd 3.04-3.27
Mg 0.6589 0.3178 0.9931  3 Li 2.92-2.93, 4 Mg 3.01-3.05, 1 Cd 3.02
Mg 0.3411 0.6822 0.0069  3 Li 2.92-2.93, 4 Mg 3.01-3.05, 1 Cd 3.02
Mg 0.4034 0.8068 0.7395  5 Li 2.92-3.27, 3 Mg 2.97-3.05, 3 Cd 3.04-3.27
Mg 0.5000 0.0000 0.5000  6 Li 2.94-2.95, 2 Mg 2.97
Cd 0.0882 0.1764 0.7498  5 Li 2.88-3.06, 3 Mg 3.02-3.04
Cd 0.9118 0.8236 0.2502  5 Li 2.88-3.06, 3 Mg 3.02-3.04



A plane-wave DFT calculation with GGA-PBE was carried out for an optimized crystal structure of Y4Er4Cd.

* space group: I4/mmm, No. 139
* calculated formation energy: -0.0075 eV/atom

abc: 4.8870 7.8519 7.8519
angles: 84.44 71.87 71.87
Closest atoms and distances in Å follow each position.
Element x y z (fractional)
Y 0.3366 0.0000 0.3267  4 Y 3.45-3.56, 2 Cd 3.45, 6 Er 3.50-3.55
Y 0.6634 0.6733 0.0000  4 Y 3.45-3.56, 2 Cd 3.45, 6 Er 3.50-3.55
Y 0.6634 0.0000 0.6733  4 Y 3.45-3.56, 2 Cd 3.45, 6 Er 3.50-3.55
Y 0.3366 0.3267 0.0000  4 Y 3.45-3.56, 2 Cd 3.45, 6 Er 3.50-3.55
Er 0.0000 0.6639 0.3361  5 Er 3.46, 6 Y 3.50-3.55, 1 Cd 3.55
Er 0.6639 0.3361 0.3361  5 Er 3.46, 6 Y 3.50-3.55, 1 Cd 3.55
Er 0.0000 0.3361 0.6639  5 Er 3.46, 6 Y 3.50-3.55, 1 Cd 3.55
Er 0.3361 0.6639 0.6639  5 Er 3.46, 6 Y 3.50-3.55, 1 Cd 3.55
Cd 0.0000 0.0000 0.0000  8 Y 3.45, 4 Er 3.55



| no. | spin magnetization (μB per atom) |
| --- | --- |
| 1 | 0.04 |
| 2 | 0.00 |
| 3 | 0.00 |
| 4 | 0.00 |
| 5 | 0.00 |
| 6 | 0.00 |